(1)
A relaxed structure of AlPb3Br, computed with PBE-GGA.

Geometry as POSCAR:
```
AlPb3Br
1.0
5.5670 0.0000 0.0000
0.0000 5.5670 0.0000
0.0000 0.0000 5.5670
Al Pb Br
1 3 1
Cartesian
0.0000 0.0000 0.0000 Al
0.0000 0.0000 2.7835 Pb
0.0000 2.7835 0.0000 Pb
2.7835 0.0000 0.0000 Pb
2.7835 2.7835 2.7835 Br
```

Formation energy from raw total energies: 240 meV per atom


(2)
A relaxed structure of Th4BiSb2Pb, computed with PBE-GGA.

Geometry as POSCAR:
```
Th4BiSb2Pb
1.0
7.8803 0.0000 0.0000
0.0000 4.5424 0.0000
-2.6165 0.0000 7.4384
Th Bi Sb Pb
4 1 2 1
Cartesian
1.2928 0.0000 1.7931 Th
-0.0165 2.2712 5.6244 Th
5.2803 2.2712 1.8140 Th
3.9710 0.0000 5.6453 Th
2.6319 2.2712 3.7192 Bi
0.0000 2.2712 0.0000 Sb
3.9402 0.0000 0.0000 Sb
-1.3083 0.0000 3.7192 Pb
```

Formation energy from raw total energies: -664 meV per atom


(3)
A relaxed structure of Tb2Nd3In, computed with PBE-GGA.

Geometry as POSCAR:
```
Tb2Nd3In
1.0
8.7644 0.0000 0.0000
0.0000 3.7518 0.0000
-0.1189 0.0000 11.7218
Tb Nd In
4 6 2
Cartesian
0.7007 0.9379 4.6124 Tb
3.0001 2.8138 10.8769 Tb
5.6455 0.9379 0.8449 Tb
7.9448 2.8138 7.1094 Tb
0.8164 0.9379 1.2052 Nd
2.9682 2.8138 6.6994 Nd
3.4122 2.8138 2.9318 Nd
5.2333 0.9379 8.7900 Nd
5.6773 0.9379 5.0224 Nd
7.8291 2.8138 10.5166 Nd
1.3099 0.9379 8.8494 In
7.3357 2.8138 2.8724 In
```

ΔH_f (0 K): -0.127 eV/atom


no.,spin magnetization (μB per cell)
1,0.00
2,0.00
3,0.00